1.
The following is a PBE calculation of a relaxed VCuSb crystal, from Alexandria via LeMat-Bulk.

Properties
Magnetic moment = 0.00 μB per formula unit
Formation energy (no corrections) = -0.07 eV/atom

CIF file:
```
data_VCuSb
_chemical_formula_sum 'V2 Cu2 Sb2'
_space_group_name_H-M_alt 'P 4/n m m'
_space_group_IT_number 129
_cell_length_a 3.8899
_cell_length_b 3.8899
_cell_length_c 6.5953
_cell_angle_alpha 90.00
_cell_angle_beta 90.00
_cell_angle_gamma 90.00
loop_
_space_group_symop_operation_xyz
'x,y,z'
'-x,-y,-z'
'-y+1/2,x,z'
'y+1/2,-x,-z'
'-x+1/2,-y+1/2,z'
'x+1/2,y+1/2,-z'
'y,-x+1/2,z'
'-y,x+1/2,-z'
'x+1/2,-y,-z'
'-x+1/2,y,z'
'-y,-x,-z'
'y,x,z'
'-x,y+1/2,-z'
'x,-y+1/2,z'
'y+1/2,x+1/2,-z'
'-y+1/2,-x+1/2,z'
loop_
_atom_site_label
_atom_site_fract_x
_atom_site_fract_y
_atom_site_fract_z
_atom_site_occupancy
V1 0.2500 0.7500 0.0000 1
Cu1 0.2500 0.2500 0.2821 1
Sb1 0.2500 0.2500 0.6930 1
```

---

2.
The following is a PBE calculation of a relaxed CaTe3Pb crystal, from Alexandria via LeMat-Bulk.

Properties
Magnetic moment = 0.00 μB per formula unit
Formation energy (no corrections) = -0.09 eV/atom

CIF file:
```
data_CaTe3Pb
_chemical_formula_sum 'Ca1 Te3 Pb1'
_space_group_name_H-M_alt 'P m -3 m'
_space_group_IT_number 221
_space_group_name_Hall '-P 4 2 3'
_cell_length_a 5.8483
_cell_length_b 5.8483
_cell_length_c 5.8483
_cell_angle_alpha 90.00
_cell_angle_beta 90.00
_cell_angle_gamma 90.00
loop_
_atom_site_label
_atom_site_fract_x
_atom_site_fract_y
_atom_site_fract_z
_atom_site_occupancy
Ca1 0.0000 0.0000 0.0000 1
Te1 0.0000 0.5000 0.5000 1
Pb1 0.5000 0.5000 0.5000 1
```